DFT (GGA-PBE) results for a geometry-optimized LaTaOs2 structure.

```
LaTaOs2
1.0
-1.992 1.992 4.835
1.992 -1.992 4.835
1.992 1.992 -4.835
La Ta Os
1 1 2
Direct
0.000 0.000 0.000 La
0.750 0.250 0.500 Ta
0.250 0.750 0.500 Os
0.500 0.500 0.000 Os
```

Calculated values
Theoretical density   15.149 Mg/m³
Formation enthalpy at 0 K   0.5827 eV per atom
SG   I-4m2 (119)



DFT (GGA-PBE) results for a geometry-optimized K4CaW structure.

```
K4CaW
1.0
0.000 5.191 5.191
5.191 0.000 5.191
5.191 5.191 0.000
K Ca W
4 1 1
Direct
0.123 0.123 0.123 K
0.123 0.123 0.630 K
0.123 0.630 0.123 K
0.630 0.123 0.123 K
0.500 0.500 0.500 Ca
0.750 0.750 0.750 W
```

Calculated values
Theoretical density   2.258 Mg/m³
Formation enthalpy at 0 K   1.2275 eV per atom
SG   F-43m (216)